Computed, not measured: Ba3HoFe2O9 after structural relaxation at the PBE+U level of DFT.

Summary:
* DOS(E_F): 10.9 states/eV/cell
* VASP energy: -6.578 eV per atom

abc: 5.8471 5.8471 7.1647
angles: 90.00 90.00 120.00
Fractional positions:
Ba  0.0000  0.0000  0.0000
Ba  0.3333  0.6667  0.6770
Ba  0.6667  0.3333  0.3230
Ho  0.0000  0.0000  0.5000
Fe  0.3333  0.6667  0.1643
Fe  0.6667  0.3333  0.8357
O  0.0000  0.5000  0.0000
O  0.1762  0.3523  0.3176
O  0.1762  0.8238  0.3176
O  0.3523  0.1762  0.6824
O  0.5000  0.0000  0.0000
O  0.5000  0.5000  0.0000
O  0.6477  0.8238  0.3176
O  0.8238  0.1762  0.6824
O  0.8238  0.6477  0.6824